SmHo12Tm3 after structural relaxation. Source: Alexandria via LeMat-Bulk, functional PBE-GGA.

Cell lengths 4.982, 4.982, 19.923 Å; angles 90.00, 90.00, 90.00 degrees
Sites, in units of the cell vectors:
Sm: 0.000 0.000 0.000
Ho: 0.000 0.500 0.127
Ho: 0.000 0.500 0.376
Ho: 0.000 0.500 0.624
Ho: 0.000 0.500 0.873
Ho: 0.500 0.000 0.127
Ho: 0.500 0.000 0.376
Ho: 0.500 0.000 0.624
Ho: 0.500 0.000 0.873
Ho: 0.500 0.500 0.000
Ho: 0.500 0.500 0.252
Ho: 0.500 0.500 0.500
Ho: 0.500 0.500 0.748
Tm: 0.000 0.000 0.251
Tm: 0.000 0.000 0.500
Tm: 0.000 0.000 0.749

Properties
The value obtained for the formation energy is 0.02 eV/atom. The total magnetization is 0.0 μB/cell.

=====

K3Er3OsO8 after structural relaxation. Source: Alexandria via LeMat-Bulk, functional PBE-GGA.

Cell lengths 7.366, 7.366, 7.366 Å; angles 54.18, 54.18, 54.18 degrees
Sites, in units of the cell vectors:
K: 0.000 0.500 0.500
K: 0.500 0.000 0.500
K: 0.500 0.500 0.000
Er: 0.000 0.000 0.500
Er: 0.000 0.500 0.000
Er: 0.500 0.000 0.000
Os: 0.500 0.500 0.500
O: 0.227 0.227 0.227
O: 0.248 0.713 0.713
O: 0.287 0.287 0.752
O: 0.287 0.752 0.287
O: 0.713 0.248 0.713
O: 0.713 0.713 0.248
O: 0.752 0.287 0.287
O: 0.773 0.773 0.773

Properties
The total magnetization is 2.0 μB/cell. The calculation puts the uncorrected formation energy at -2.386 eV per atom.

=====

Theoretical density for the records above, in order: 8.9; 6.4 g cm⁻³